1.
This record from Alexandria via LeMat-Bulk describes crystalline Ti8ZnNi2 at its relaxed geometry. The functional is GGA-PBE.

The calculation puts the volume at 179.0 Å³ per cell. The energy is -76.37 eV/cell.

a b c (Å): 4.361 6.986 6.986
angles (deg): 117.54 99.46 99.46
Positions (direct):
1 Ti 0.309 0.604 0.604
2 Ti 0.910 0.911 0.684
3 Ti 0.500 0.769 0.231
4 Ti 0.910 0.684 0.911
5 Ti 0.691 0.396 0.396
6 Ni 0.000 0.309 0.691
7 Ti 0.500 0.231 0.769
8 Ni 0.000 0.691 0.309
9 Ti 0.090 0.089 0.316
10 Ti 0.090 0.316 0.089
11 Zn 0.500 0.000 0.000

***

2.
This record from Alexandria via LeMat-Bulk describes crystalline Ti4ZnNi at its relaxed geometry. The functional is GGA-PBE.

The calculation puts the volume at 93.2 Å³ per cell. The value obtained for the offset from the most stable computed form is 0.00 eV per formula unit.

a b c (Å): 2.992 2.992 10.407
angles (deg): 90.00 90.00 90.00
Positions (direct):
1 Ti 0.000 0.000 0.350
2 Ti 0.000 0.000 0.650
3 Ti 0.500 0.500 0.827
4 Zn 0.000 0.000 0.000
5 Ni 0.500 0.500 0.500
6 Ti 0.500 0.500 0.173

***

3.
This record from Alexandria via LeMat-Bulk describes crystalline Ti2ZnNi at its relaxed geometry. The functional is GGA-PBE.

The calculation puts the volume at 58.4 Å³ per cell. The energy is -23.85 eV/cell.

a b c (Å): 3.087 3.087 6.131
angles (deg): 90.00 90.00 90.00
Positions (direct):
1 Ni 0.500 0.500 0.000
2 Ti 0.000 0.000 0.765
3 Zn 0.500 0.500 0.500
4 Ti 0.000 0.000 0.235

***

4.
This record from Alexandria via LeMat-Bulk describes crystalline Ti2ZnNi2 at its relaxed geometry. The functional is GGA-PBE.

The calculation puts the volume at 75.9 Å³ per cell. The energy is -28.55 eV/cell.

a b c (Å): 3.270 3.270 7.466
angles (deg): 77.35 77.35 90.00
Positions (direct):
1 Ni 0.250 0.750 0.500
2 Ni 0.750 0.250 0.500
3 Ti 0.384 0.384 0.231
4 Ti 0.616 0.616 0.769
5 Zn 0.000 0.000 0.000

***

5.
This record from Alexandria via LeMat-Bulk describes crystalline Ti3Zn3Ni2 at its relaxed geometry. The functional is GGA-PBE.

The calculation puts the volume at 117.3 Å³ per cell. The energy is -41.40 eV/cell.

a b c (Å): 3.054 6.661 6.661
angles (deg): 120.00 90.00 90.00
Positions (direct):
1 Zn 0.000 0.770 0.770
2 Zn 0.000 0.000 0.230
3 Zn 0.000 0.230 0.000
4 Ni 0.000 0.667 0.333
5 Ti 0.500 0.000 0.579
6 Ni 0.000 0.333 0.667
7 Ti 0.500 0.421 0.421
8 Ti 0.500 0.579 0.000

***

6.
This record from Alexandria via LeMat-Bulk describes crystalline Ti5ZnNi6 at its relaxed geometry. The functional is GGA-PBE.

The calculation puts the volume at 162.0 Å³ per cell. The energy is -79.85 eV/cell.

a b c (Å): 4.220 7.356 7.356
angles (deg): 120.01 106.66 106.66
Positions (direct):
1 Zn 0.000 0.000 0.000
2 Ni 0.777 0.278 0.278
3 Ni 0.735 0.555 0.914
4 Ti 0.000 0.669 0.331
5 Ni 0.265 0.445 0.086
6 Ti 0.000 0.331 0.669
7 Ti 0.500 0.500 0.500
8 Ti 0.500 0.845 0.155
9 Ni 0.223 0.722 0.722
10 Ni 0.265 0.086 0.445
11 Ti 0.500 0.155 0.845
12 Ni 0.735 0.914 0.555

***

7.
This record from Alexandria via LeMat-Bulk describes crystalline TiZnNi at its relaxed geometry. The functional is GGA-PBE.

The calculation puts the volume at 82.6 Å³ per cell. The energy is -32.06 eV/cell.

a b c (Å): 4.123 4.463 5.062
angles (deg): 90.00 90.00 117.51
Positions (direct):
1 Ti 0.810 0.619 0.250
2 Zn 0.500 0.000 0.000
3 Ni 0.874 0.747 0.750
4 Ni 0.126 0.253 0.250
5 Zn 0.500 0.000 0.500
6 Ti 0.190 0.381 0.750

***

8.
This record from Alexandria via LeMat-Bulk describes crystalline TiZn2Ni3 at its relaxed geometry. The functional is GGA-PBE.

The calculation puts the volume at 75.5 Å³ per cell. The value obtained for the offset from the most stable computed form is 0.23 eV per formula unit.

a b c (Å): 2.769 2.769 9.852
angles (deg): 90.00 90.00 90.00
Positions (direct):
1 Ni 0.000 0.000 0.327
2 Zn 0.500 0.500 0.837
3 Ni 0.000 0.000 0.000
4 Zn 0.500 0.500 0.163
5 Ti 0.500 0.500 0.500
6 Ni 0.000 0.000 0.673